Density functional theory data (PBE) for crystalline CePmSb at its relaxed geometry.

DFT total energy: -5.810 eV per atom
Raw formation energy: -2.6 eV/f.u.
Space-group type: I4/mmm, No. 139
Distance to the lowest polymorph of the same formula: 0.00 eV/f.u.

```
6
Lattice="-2.217 2.217 8.833 2.217 -2.217 8.833 2.217 2.217 -8.833" Properties=species:S:1:pos:R:3 pbc="T T T"
Ce 2.217 0.000 0.000
Ce 0.000 2.217 0.000
Pm 0.000 0.000 3.138
Pm 0.000 0.000 14.528
Sb 0.000 0.000 6.384
Sb 0.000 0.000 11.282
```

Density functional theory data (PBE) for crystalline CePm2Sb at its relaxed geometry.

DFT total energy: -5.205 eV per atom
Raw formation energy: -1.3 eV/f.u.
Space-group type: P1, No. 1
Distance to the lowest polymorph of the same formula: 0.81 eV/f.u.

```
8
Lattice="4.348 0.000 0.000 -0.010 6.107 0.000 -2.170 -1.847 9.697" Properties=species:S:1:pos:R:3 pbc="T T T"
Ce 0.000 0.000 0.000
Ce 0.006 -0.101 9.657
Pm 0.005 3.023 2.275
Pm 0.004 4.167 6.559
Pm 2.181 0.126 3.131
Pm 2.181 1.249 7.400
Sb 0.007 0.913 5.225
Sb 2.179 3.381 4.454
```

Density functional theory data (PBE) for crystalline CePm3Sb3 at its relaxed geometry.

DFT total energy: -5.670 eV per atom
Raw formation energy: -7.1 eV/f.u.
Space-group type: P2_13, No. 198
Distance to the lowest polymorph of the same formula: 0.00 eV/f.u.

```
28
Lattice="9.454 0.000 0.000 0.000 9.454 0.000 0.000 0.000 9.454" Properties=species:S:1:pos:R:3 pbc="T T T"
Ce 0.681 4.046 5.408
Ce 4.046 5.408 0.681
Ce 5.408 0.681 4.046
Ce 8.773 8.773 8.773
Pm 0.680 5.407 8.775
Pm 1.696 1.696 1.696
Pm 1.703 7.752 3.025
Pm 3.025 1.703 7.752
Pm 3.031 7.759 6.423
Pm 4.047 4.047 4.047
Pm 5.407 8.775 0.680
Pm 6.423 3.031 7.759
Pm 6.430 6.430 6.430
Pm 7.752 3.025 1.703
Pm 7.759 6.423 3.031
Pm 8.775 0.680 5.407
Sb 0.009 7.093 5.891
Sb 1.164 4.719 2.362
Sb 2.362 1.164 4.719
Sb 2.365 8.291 9.446
Sb 3.563 4.736 7.089
Sb 4.719 2.362 1.164
Sb 4.736 7.089 3.563
Sb 5.891 0.009 7.093
Sb 7.089 3.563 4.736
Sb 7.093 5.891 0.009
Sb 8.291 9.446 2.365
Sb 9.446 2.365 8.291
```

Density functional theory data (PBE) for crystalline Ce5PmSb3 at its relaxed geometry.

DFT total energy: -5.859 eV per atom
Raw formation energy: -5.9 eV/f.u.
Space-group type: P6_3/mcm, No. 193

```
18
Lattice="9.479 0.000 0.000 -4.739 8.209 0.000 0.000 0.000 6.500" Properties=species:S:1:pos:R:3 pbc="T T T"
Ce -1.614 2.796 1.625
Ce -3.125 5.413 4.875
Ce 0.000 5.473 0.000
Ce 0.000 5.473 3.250
Ce 3.228 0.000 1.625
Ce 1.614 2.796 4.875
Ce 6.251 0.000 4.875
Ce 3.125 5.413 1.625
Ce 4.739 2.736 0.000
Ce 4.739 2.736 3.250
Pm 0.000 0.000 0.000
Pm 0.000 0.000 3.250
Sb -1.557 2.697 4.875
Sb -3.182 5.512 1.625
Sb 3.115 0.000 4.875
Sb 1.557 2.697 1.625
Sb 6.364 0.000 1.625
Sb 3.182 5.512 4.875
```

Density functional theory data (PBE) for crystalline Ce2Pm5Sb5 at its relaxed geometry.

DFT total energy: -5.527 eV per atom
Raw formation energy: -10.1 eV/f.u.
Space-group type: C2/m, No. 12

```
12
Lattice="7.208 -2.202 0.000 7.208 2.202 0.000 -3.538 0.000 12.715" Properties=species:S:1:pos:R:3 pbc="T T T"
Ce -0.542 0.000 3.569
Ce 11.420 0.000 9.146
Pm 3.288 0.000 1.931
Pm 3.312 0.000 5.748
Pm 7.208 0.000 0.000
Pm 7.567 0.000 6.966
Pm 7.590 0.000 10.783
Sb -1.769 0.000 6.357
Sb -1.515 0.000 11.850
Sb 1.946 0.000 8.835
Sb 8.932 0.000 3.880
Sb 12.393 0.000 0.864
```

Density functional theory data (PBE) for crystalline Ce5Pm2Sb5 at its relaxed geometry.

DFT total energy: -5.766 eV per atom
Raw formation energy: -9.4 eV/f.u.
Space-group type: C2/m, No. 12

```
12
Lattice="7.519 -2.210 0.000 7.519 2.210 0.000 -3.905 0.000 11.665" Properties=species:S:1:pos:R:3 pbc="T T T"
Ce 0.000 0.000 0.000
Ce 0.217 0.000 6.637
Ce 0.053 0.000 9.562
Ce 11.081 0.000 2.103
Ce 10.916 0.000 5.029
Pm 4.193 0.000 8.445
Pm 6.941 0.000 3.221
Sb 1.571 0.000 3.499
Sb 5.348 0.000 0.651
Sb 5.567 0.000 5.833
Sb 5.785 0.000 11.015
Sb 9.562 0.000 8.166
```

Density functional theory data (PBE) for crystalline Ce5Pm3Sb8 at its relaxed geometry.

DFT total energy: -5.906 eV per atom
Raw formation energy: -17.6 eV/f.u.
Space-group type: R-3m, No. 166

```
16
Lattice="4.496 2.596 7.346 -4.496 2.596 7.346 0.000 -5.192 7.346" Properties=species:S:1:pos:R:3 pbc="T T T"
Ce 0.000 0.000 0.000
Ce -2.248 -1.298 7.346
Ce -2.248 1.298 14.693
Ce 0.000 2.596 7.346
Ce 0.000 0.000 11.020
Pm -4.496 0.000 11.020
Pm -2.248 1.298 3.673
Pm 2.248 1.298 3.673
Sb 0.000 -2.593 9.179
Sb -2.245 1.296 9.179
Sb 0.000 0.000 5.521
Sb -2.245 -1.296 12.861
Sb 2.245 1.296 9.179
Sb 0.000 0.000 16.518
Sb 2.245 -1.296 12.861
Sb 0.000 2.593 12.861
```

Density functional theory data (PBE) for crystalline Ce6PmSb5 at its relaxed geometry.

DFT total energy: -5.753 eV per atom
Raw formation energy: -8.1 eV/f.u.
Space-group type: C2/m, No. 12

```
12
Lattice="3.963 -6.768 0.000 3.963 6.768 0.000 -2.560 0.000 7.341" Properties=species:S:1:pos:R:3 pbc="T T T"
Ce -0.028 2.387 5.424
Ce 1.188 0.000 1.855
Ce -0.028 -2.387 5.424
Ce 5.393 2.387 1.917
Ce 4.177 0.000 5.486
Ce 5.393 -2.387 1.917
Pm 3.963 0.000 0.000
Sb -1.280 0.000 3.670
Sb 3.963 4.479 0.000
Sb 2.683 2.134 3.670
Sb 2.683 -2.134 3.670
Sb 3.963 -4.479 0.000
```